# 1
Mn2ZnCuAu after structural relaxation, computed with PBE.

Cell: 4.6349 4.6349 4.3775 Å, 90.00 90.00 90.00°
Space group P4/mmm (No. 123)
One atom of each set of equivalent atoms:
Mn 0.0000 0.5000 0.0000
Zn 0.0000 0.0000 0.0000
Cu 0.0000 0.0000 0.5000
Au 0.5000 0.5000 0.5000

**Volume**: 18.81 Å³/atom
**Crystal system**: tetragonal
**E_form**: 801.1 meV per atom

***

# 2
ZrMn2CuAu after structural relaxation, computed with PBE.

Cell: 4.8523 4.8523 4.6909 Å, 90.00 90.00 90.00°
Space group P4/mmm (No. 123)
One atom of each set of equivalent atoms:
Zr 0.0000 0.0000 0.0000
Mn 0.0000 0.5000 0.5000
Cu 0.5000 0.5000 0.0000
Au 0.5000 0.5000 0.5000

**Volume**: 22.09 Å³/atom
**Crystal system**: tetragonal
**E_form**: 899.4 meV per atom

***

# 3
CuMo2Au after structural relaxation, computed with PBE.

Cell: 5.2817 8.6835 2.6852 Å, 90.00 90.00 90.00°
Space group Cmmm (No. 65)
One atom of each set of equivalent atoms:
Cu 0.0000 0.0000 0.0000
Mo 0.2500 0.2500 0.5000
Au 0.0000 0.5000 0.0000

**Volume**: 15.39 Å³/atom
**Crystal system**: orthorhombic
**E_form**: 265.0 meV per atom